No. 1
This record from OQMD via LeMat-Bulk describes crystalline LaSiGePt2 at its relaxed geometry. The functional is GGA-PBE.

The calculation puts the total magnetization at 0.001 μB/atom. The space group is P4/nmm. As for the total DFT energy (no corrections): -64.75 eV per cell.

Unit cell a=4.373 b=4.373 c=10.008 alpha=90.00 beta=90.00 gamma=90.00
Atoms (fractional coordinates):
Si 0.000 0.500 0.877
Si 0.500 0.000 0.123
Pt 0.500 0.000 0.364
Pt 0.000 0.000 0.000
Pt 0.500 0.500 0.000
Pt 0.000 0.500 0.636
Ge 0.000 0.000 0.500
Ge 0.500 0.500 0.500
La 0.500 0.000 0.748
La 0.000 0.500 0.252

***

No. 2
This record from OQMD via LeMat-Bulk describes crystalline Mg6TlCd at its relaxed geometry. The functional is GGA-PBE.

The space group is R-3. The polymorph energy (0 for the lowest one) is 21 meV/atom. As for the total DFT energy (no corrections): -12.80 eV per cell.

Unit cell a=5.645 b=5.645 c=5.645 alpha=90.53 beta=90.53 gamma=90.53
Atoms (fractional coordinates):
Mg 0.003 0.495 0.752
Mg 0.495 0.752 0.003
Mg 0.248 0.997 0.505
Mg 0.505 0.248 0.997
Mg 0.997 0.505 0.248
Mg 0.752 0.003 0.495
Tl 0.500 0.500 0.500
Cd 0.000 0.000 0.000

***

No. 3
This record from OQMD via LeMat-Bulk describes crystalline ZnSbNO at its relaxed geometry. The functional is GGA-PBE.

The space group is Pca2_1. The polymorph energy (0 for the lowest one) is 0 meV/atom. As for the total DFT energy (no corrections): -82.99 eV per cell.

Unit cell a=5.799 b=8.252 c=5.298 alpha=90.00 beta=90.00 gamma=90.00
Atoms (fractional coordinates):
O 0.628 0.232 0.634
O 0.372 0.768 0.134
O 0.128 0.768 0.634
O 0.872 0.232 0.134
N 0.911 0.613 0.096
N 0.411 0.387 0.096
N 0.589 0.613 0.596
N 0.089 0.387 0.596
Sb 0.549 0.176 0.001
Sb 0.451 0.824 0.501
Sb 0.049 0.824 0.001
Sb 0.951 0.176 0.501
Zn 0.410 0.422 0.472
Zn 0.090 0.422 0.972
Zn 0.910 0.578 0.472
Zn 0.590 0.578 0.972

***

No. 4
This record from OQMD via LeMat-Bulk describes crystalline Dy2HoCo9 at its relaxed geometry. The functional is GGA-PBE.

The calculation puts the total magnetization at 0.870 μB/atom. The space group is R-3m. As for the total DFT energy (no corrections): -79.87 eV per cell.

Unit cell a=8.563 b=8.563 c=8.563 alpha=33.53 beta=33.53 gamma=33.53
Each line ends with the local moment (μB).
Atoms (fractional coordinates):
Co 0.335 0.335 0.335  1.47
Co 0.583 0.079 0.583  1.35
Co 0.500 0.500 0.500  1.20
Co 0.665 0.665 0.665  1.47
Co 0.417 0.921 0.417  1.35
Co 0.921 0.417 0.417  1.20
Co 0.583 0.583 0.079  1.25
Co 0.417 0.417 0.921  1.25
Co 0.079 0.583 0.583  1.20
Dy 0.860 0.860 0.860  -0.40
Dy 0.140 0.140 0.140  -0.40
Ho 0.000 0.000 0.000  -0.32

***

No. 5
This record from OQMD via LeMat-Bulk describes crystalline Co2MoOs at its relaxed geometry. The functional is GGA-PBE.

The calculation puts the total magnetization at 0.069 μB/atom. The space group is Amm2. The polymorph energy (0 for the lowest one) is 30 meV/atom. As for the total DFT energy (no corrections): -72.72 eV per cell.

Unit cell a=4.181 b=5.288 c=5.288 alpha=60.29 beta=90.00 gamma=90.00
Each line ends with the local moment (μB).
Atoms (fractional coordinates):
Co 0.500 0.674 0.157  -0.28
Co 0.500 0.157 0.674  -0.25
Co 0.000 0.838 0.838  -0.01
Co 0.500 0.167 0.167  -0.11
Os 0.000 0.322 0.834  0.00
Os 0.000 0.834 0.322  -0.01
Mo 0.500 0.673 0.673  0.02
Mo 0.000 0.334 0.334  0.06

***

No. 6
This record from OQMD via LeMat-Bulk describes crystalline Hf3Zr3NiBi2 at its relaxed geometry. The functional is GGA-PBE.

The calculation puts the total magnetization at 0.001 μB/atom. The space group is P-62m. The polymorph energy (0 for the lowest one) is 92 meV/atom. As for the total DFT energy (no corrections): -71.67 eV per cell.

Unit cell a=7.900 b=7.900 c=3.670 alpha=90.00 beta=90.00 gamma=120.00
Atoms (fractional coordinates):
Hf 0.000 0.611 0.000
Hf 0.611 0.000 0.000
Hf 0.389 0.389 0.000
Bi 0.667 0.333 0.500
Bi 0.333 0.667 0.500
Zr 0.000 0.240 0.500
Zr 0.760 0.760 0.500
Zr 0.240 0.000 0.500
Ni 0.000 0.000 0.000

***

No. 7
This record from OQMD via LeMat-Bulk describes crystalline TcGeB4 at its relaxed geometry. The functional is GGA-PBE.

The calculation puts the total magnetization at 0.004 μB/atom. The space group is P6/mmm. The polymorph energy (0 for the lowest one) is 3 meV/atom. As for the total DFT energy (no corrections): -40.09 eV per cell.

Unit cell a=3.035 b=3.035 c=7.141 alpha=90.00 beta=90.00 gamma=120.00
Atoms (fractional coordinates):
B 0.333 0.667 0.269
B 0.333 0.667 0.731
B 0.667 0.333 0.731
B 0.667 0.333 0.269
Ge 0.000 0.000 0.000
Tc 0.000 0.000 0.500

***

No. 8
This record from OQMD via LeMat-Bulk describes crystalline LiCdSb2 at its relaxed geometry. The functional is GGA-PBE.

The space group is F-43m. As for the total DFT energy (no corrections): -11.04 eV per cell.

Unit cell a=5.165 b=5.165 c=5.165 alpha=60.00 beta=60.00 gamma=60.00
Atoms (fractional coordinates):
Sb 0.250 0.250 0.250
Sb 0.500 0.500 0.500
Cd 0.750 0.750 0.750
Li 0.000 0.000 0.000

***

No. 9
This record from OQMD via LeMat-Bulk describes crystalline Pr2CuNiBi4 at its relaxed geometry. The functional is GGA-PBE.

The calculation puts the total magnetization at 0.000 μB/atom. The space group is P-4m2. As for the total DFT energy (no corrections): -39.10 eV per cell.

Unit cell a=4.609 b=4.609 c=9.895 alpha=90.00 beta=90.00 gamma=90.00
Atoms (fractional coordinates):
Bi 0.000 0.500 0.146
Bi 0.500 0.000 0.854
Bi 0.500 0.500 0.500
Bi 0.000 0.000 0.500
Ni 0.000 0.000 0.000
Pr 0.000 0.500 0.769
Pr 0.500 0.000 0.231
Cu 0.500 0.500 0.000

***

No. 10
This record from OQMD via LeMat-Bulk describes crystalline SrZnW at its relaxed geometry. The functional is GGA-PBE.

The calculation puts the total magnetization at 1.327 μB/atom. The space group is F-43m. The polymorph energy (0 for the lowest one) is 605 meV/atom. As for the total DFT energy (no corrections): -10.05 eV per cell.

Unit cell a=5.063 b=5.063 c=5.063 alpha=60.00 beta=60.00 gamma=60.00
Atoms (fractional coordinates):
Sr 0.000 0.000 0.000
Zn 0.750 0.750 0.750
W 0.250 0.250 0.250

***

No. 11
This record from OQMD via LeMat-Bulk describes crystalline Nb3PN at its relaxed geometry. The functional is GGA-PBE.

The calculation puts the total magnetization at 0.000 μB/atom. The space group is Cmcm. As for the total DFT energy (no corrections): -97.03 eV per cell.

Unit cell a=5.511 b=5.511 c=7.992 alpha=90.00 beta=90.00 gamma=144.72
Atoms (fractional coordinates):
Nb 0.637 0.363 0.944
Nb 0.637 0.363 0.556
Nb 0.073 0.927 0.250
Nb 0.363 0.637 0.056
Nb 0.927 0.073 0.750
Nb 0.363 0.637 0.444
P 0.750 0.250 0.250
P 0.250 0.750 0.750
N 0.000 0.000 0.500
N 0.000 0.000 0.000

***

No. 12
This record from OQMD via LeMat-Bulk describes crystalline DyHo2Ni2 at its relaxed geometry. The functional is GGA-PBE.

The calculation puts the total magnetization at 0.033 μB/atom. The space group is C2/m. The polymorph energy (0 for the lowest one) is 0 meV/atom. As for the total DFT energy (no corrections): -53.63 eV per cell.

Unit cell a=6.865 b=6.865 c=9.460 alpha=104.85 beta=104.85 gamma=30.72
Each line ends with the local moment (μB).
Atoms (fractional coordinates):
Dy 0.856 0.856 0.132  0.07
Dy 0.144 0.144 0.868  0.07
Ho 0.132 0.132 0.498  -0.01
Ho 0.868 0.868 0.502  -0.01
Ho 0.403 0.403 0.827  0.05
Ho 0.597 0.597 0.173  0.05
Ni 0.256 0.256 0.273  0.00
Ni 0.535 0.535 0.644  0.01
Ni 0.465 0.465 0.356  0.01
Ni 0.744 0.744 0.727  0.00